# 1
ZrH: optimized geometry, PBE-GGA.

Cell lengths 3.1295, 3.1295, 2.9096 Å; angles 90.00, 90.00, 120.00 degrees
Space group P-6m2 (No. 187)
One atom of each set of equivalent atoms:
1 Zr 0.0000 0.0000 0.0000
2 H 0.3333 0.6667 0.5000

DFT total energy: -0.223 hartree per atom
volume: 12.34 Å³ per atom

=====

# 2
H6AuC24NCl8F5: optimized geometry, PBE-GGA.

Cell lengths 7.840, 11.339, 14.596 Å; angles 74.68, 87.89, 88.75 degrees
Space group P-1 (No. 2)
One atom of each set of equivalent atoms:
1 H 0.067 0.350 0.480
2 H 0.116 0.091 0.635
3 H 0.294 0.477 0.950
4 H 0.329 0.104 0.889
5 H 0.411 0.565 0.613
6 H 0.430 0.855 0.908
7 Au 0.458 0.008 0.727
8 C 0.013 0.838 0.670
9 C 0.023 0.794 0.290
10 C 0.033 0.745 0.210
11 C 0.042 0.157 0.239
12 C 0.095 0.118 0.405
13 C 0.099 0.211 0.856
14 C 0.106 0.491 0.350
15 C 0.109 0.127 0.697
16 C 0.160 0.403 0.430
17 C 0.160 0.656 0.198
18 C 0.205 0.112 0.227
19 C 0.219 0.562 0.280
20 C 0.226 0.132 0.839
21 C 0.232 0.660 0.104
22 C 0.233 0.556 0.067
23 C 0.253 0.068 0.390
24 C 0.301 0.558 0.977
25 C 0.302 0.768 0.042
26 C 0.316 0.064 0.300
27 C 0.335 0.383 0.441
28 C 0.372 0.665 0.921
29 C 0.374 0.771 0.953
30 C 0.395 0.538 0.297
31 C 0.453 0.450 0.375
32 N 0.234 0.092 0.760
33 Cl 0.111 0.493 0.665
34 Cl 0.123 0.264 0.954
35 Cl 0.125 0.428 0.127
36 Cl 0.177 0.764 0.374
37 Cl 0.308 0.900 0.078
38 Cl 0.408 0.275 0.539
39 Cl 0.452 0.670 0.809
40 Cl 0.454 0.372 0.776
41 F 0.039 0.121 0.493
42 F 0.062 0.804 0.835
43 F 0.169 0.793 0.655
44 F 0.256 0.116 0.135
45 F 0.345 0.019 0.468

DFT total energy: -0.231 hartree per atom
volume: 13.89 Å³ per atom

=====

# 3
Sr2LiPt: optimized geometry, PBE-GGA.

Cell lengths 10.851, 5.594, 7.305 Å; angles 90.00, 90.00, 90.00 degrees
Space group Pnma (No. 62)
One atom of each set of equivalent atoms:
1 Sr 0.112 0.250 0.006
2 Sr 0.167 0.250 0.501
3 Li 0.090 0.750 0.343
4 Pt 0.110 0.750 0.713

DFT total energy: -0.119 hartree per atom
volume: 27.71 Å³ per atom

=====

# 4
Li2PrGe: optimized geometry, PBE-GGA.

Cell lengths 4.3672, 4.3672, 9.3606 Å; angles 90.00, 90.00, 120.00 degrees
Space group P6_3/mmc (No. 194)
One atom of each set of equivalent atoms:
1 Li 0.3333 0.6667 0.0691
2 Pr 0.3333 0.6667 0.7500
3 Ge 0.0000 0.0000 0.0000

DFT total energy: -0.134 hartree per atom
volume: 19.33 Å³ per atom

=====

# 5
BeZnIn: optimized geometry, PBE-GGA.

Cell lengths 6.075, 6.075, 6.075 Å; angles 90.00, 90.00, 90.00 degrees
Space group F-43m (No. 216)
One atom of each set of equivalent atoms:
1 Be 0.000 0.000 0.000
2 Zn 0.000 0.000 0.500
3 In 0.250 0.250 0.250

DFT total energy: -0.077 hartree per atom
volume: 18.68 Å³ per atom

=====

# 6
LaNd2NO2: optimized geometry, PBE-GGA.

Cell lengths 3.5948, 3.5948, 8.8244 Å; angles 90.00, 90.00, 120.00 degrees
Space group P-3m1 (No. 164)
One atom of each set of equivalent atoms:
1 La 0.0000 0.0000 0.0000
2 Nd 0.3333 0.6667 0.3385
3 N 0.0000 0.0000 0.5000
4 O 0.3333 0.6667 0.8310

DFT total energy: -0.288 hartree per atom
volume: 16.46 Å³ per atom

=====

# 7
AgMoAu: optimized geometry, PBE-GGA.

Cell lengths 6.176, 6.176, 6.176 Å; angles 90.00, 90.00, 90.00 degrees
Space group F-43m (No. 216)
One atom of each set of equivalent atoms:
1 Ag 0.000 0.000 0.000
2 Mo 0.000 0.000 0.500
3 Au 0.250 0.250 0.250

DFT total energy: -0.176 hartree per atom
volume: 19.63 Å³ per atom

=====

# 8
LiZrTlCo: optimized geometry, PBE-GGA.

Cell lengths 6.391, 6.391, 6.391 Å; angles 90.00, 90.00, 90.00 degrees
Space group F-43m (No. 216)
One atom of each set of equivalent atoms:
1 Li 0.000 0.000 0.000
2 Zr 0.250 0.250 0.750
3 Tl 0.250 0.250 0.250
4 Co 0.000 0.000 0.500

DFT total energy: -0.186 hartree per atom
volume: 16.32 Å³ per atom

=====

# 9
BiPt17: optimized geometry, PBE-GGA.

Cell lengths 4.811, 5.552, 34.140 Å; angles 90.00, 90.02, 90.00 degrees
Space group P2_1/m (No. 11)
One atom of each set of equivalent atoms:
1 Bi 0.168 0.250 0.301
2 Pt 0.000 0.000 0.000
3 Pt 0.001 0.503 0.796
4 Pt 0.164 0.250 0.068
5 Pt 0.165 0.750 0.068
6 Pt 0.170 0.750 0.864
7 Pt 0.171 0.250 0.865
8 Pt 0.174 0.750 0.272
9 Pt 0.329 0.001 0.136
10 Pt 0.329 0.003 0.729
11 Pt 0.336 0.000 0.932
12 Pt 0.493 0.250 0.205
13 Pt 0.497 0.750 0.203
14 Pt 0.500 0.250 0.000

DFT total energy: -0.216 hartree per atom
volume: 25.33 Å³ per atom

=====

# 10
UBeAl: optimized geometry, PBE-GGA.

Cell lengths 6.309, 6.309, 6.309 Å; angles 90.00, 90.00, 90.00 degrees
Space group F-43m (No. 216)
One atom of each set of equivalent atoms:
1 U 0.000 0.000 0.000
2 Be 0.000 0.000 0.500
3 Al 0.250 0.250 0.750

DFT total energy: -0.200 hartree per atom
volume: 20.93 Å³ per atom

=====

# 11
PrAl3C: optimized geometry, PBE-GGA.

Cell lengths 4.459, 4.459, 4.459 Å; angles 90.00, 90.00, 90.00 degrees
Space group Pm-3m (No. 221)
One atom of each set of equivalent atoms:
1 Pr 0.000 0.000 0.000
2 Al 0.000 0.500 0.500
3 C 0.500 0.500 0.500

DFT total energy: -0.172 hartree per atom
volume: 17.73 Å³ per atom

=====

# 12
Pr2In2Pd3Pt: optimized geometry, PBE-GGA.

Cell lengths 4.6707, 4.6707, 9.2608 Å; angles 90.00, 90.00, 120.00 degrees
Space group P3m1 (No. 156)
One atom of each set of equivalent atoms:
1 Pr 0.0000 0.0000 0.0000
2 Pr 0.3333 0.6667 0.4951
3 In 0.6667 0.3333 0.2450
4 In 0.6667 0.3333 0.7458
5 Pd 0.0000 0.0000 0.3354
6 Pd 0.0000 0.0000 0.6648
7 Pd 0.3333 0.6667 0.8269
8 Pt 0.3333 0.6667 0.1622

DFT total energy: -0.198 hartree per atom
volume: 21.87 Å³ per atom

=====

# 13
HoEr6Ni2Te2: optimized geometry, PBE-GGA.

Cell lengths 3.827, 15.479, 9.489 Å; angles 90.00, 90.00, 90.00 degrees
Space group Imm2 (No. 44)
One atom of each set of equivalent atoms:
1 Ho 0.000 0.000 0.000
2 Er 0.000 0.133 0.583
3 Er 0.000 0.315 0.379
4 Er 0.000 0.353 0.730
5 Ni 0.000 0.238 0.072
6 Te 0.000 0.000 0.337
7 Te 0.000 0.500 0.235

DFT total energy: -0.190 hartree per atom
volume: 25.55 Å³ per atom

=====

# 14
DyYSn2Ir: optimized geometry, PBE-GGA.

Cell lengths 10.927, 4.506, 10.925 Å; angles 90.00, 116.00, 90.00 degrees
Space group C2/m (No. 12)
One atom of each set of equivalent atoms:
1 Dy 0.003 0.000 0.172
2 Y 0.186 0.000 0.627
3 Sn 0.031 0.500 0.383
4 Sn 0.155 0.500 0.048
5 Ir 0.224 0.500 0.826

DFT total energy: -0.235 hartree per atom
volume: 24.18 Å³ per atom

=====

# 15
Hf4GaFeC2: optimized geometry, PBE-GGA.

Cell lengths 3.2472, 3.2472, 13.7340 Å; angles 90.00, 90.00, 120.00 degrees
Space group P-6m2 (No. 187)
One atom of each set of equivalent atoms:
1 Hf 0.0000 0.0000 0.1431
2 Hf 0.6667 0.3333 0.3328
3 Ga 0.0000 0.0000 0.5000
4 Fe 0.6667 0.3333 0.0000
5 C 0.3333 0.6667 0.2449

DFT total energy: -0.340 hartree per atom
volume: 15.68 Å³ per atom

=====

# 16
MgNbFeSi: optimized geometry, PBE-GGA.

Cell lengths 6.188, 6.188, 6.188 Å; angles 90.00, 90.00, 90.00 degrees
Space group F-43m (No. 216)
One atom of each set of equivalent atoms:
1 Mg 0.000 0.000 0.000
2 Nb 0.250 0.250 0.250
3 Fe 0.250 0.250 0.750
4 Si 0.000 0.000 0.500

DFT total energy: -0.227 hartree per atom
volume: 14.81 Å³ per atom

=====

# 17
RbTbPdSe3: optimized geometry, PBE-GGA.

Cell lengths 4.259, 16.647, 9.886 Å; angles 90.00, 90.00, 90.00 degrees
Space group Cmcm (No. 63)
One atom of each set of equivalent atoms:
1 Rb 0.000 0.244 0.250
2 Tb 0.000 0.000 0.000
3 Pd 0.000 0.499 0.250
4 Se 0.000 0.092 0.750
5 Se 0.000 0.391 0.580

DFT total energy: -0.173 hartree per atom
volume: 29.20 Å³ per atom

=====

# 18
Nb3ZnCN: optimized geometry, PBE-GGA.

Cell lengths 3.1398, 3.1398, 18.9075 Å; angles 90.00, 90.00, 120.00 degrees
Space group P-3m1 (No. 164)
One atom of each set of equivalent atoms:
1 Nb 0.0000 0.0000 0.0000
2 Nb 0.0000 0.0000 0.5000
3 Nb 0.3333 0.6667 0.1320
4 Nb 0.3333 0.6667 0.3669
5 Zn 0.0000 0.0000 0.2495
6 C 0.3333 0.6667 0.5712
7 N 0.3333 0.6667 0.9317

DFT total energy: -0.320 hartree per atom
volume: 13.45 Å³ per atom

=====

# 19
PrLuAl: optimized geometry, PBE-GGA.

Cell lengths 7.237, 7.237, 7.237 Å; angles 90.00, 90.00, 90.00 degrees
Space group F-43m (No. 216)
One atom of each set of equivalent atoms:
1 Pr 0.000 0.000 0.000
2 Lu 0.250 0.250 0.250
3 Al 0.250 0.250 0.750

DFT total energy: -0.141 hartree per atom
volume: 31.58 Å³ per atom

=====

# 20
SmErMg6: optimized geometry, PBE-GGA.

Cell lengths 5.169, 7.379, 5.169 Å; angles 90.00, 90.00, 90.00 degrees
Space group Pmm2 (No. 25)
One atom of each set of equivalent atoms:
1 Sm 0.000 0.000 0.000
2 Er 0.500 0.500 0.493
3 Mg 0.000 0.256 0.501
4 Mg 0.000 0.500 0.000
5 Mg 0.500 0.000 0.494
6 Mg 0.500 0.256 0.993

DFT total energy: -0.088 hartree per atom
volume: 24.64 Å³ per atom